1.
Material: LaTlAg
Method: DFT, PBEsol
State: relaxed

```
LaTlAg
1.0
4.962 0.000 0.000
-2.481 4.297 0.000
0.000 0.000 3.523
La Tl Ag
1 1 1
direct
0.000 0.000 0.000
0.667 0.333 0.500
0.333 0.667 0.500
```

Results
The volume comes out at 75.1 Å³/f.u. The value obtained for the energy is -12.4 eV/cell. Its calculated formation energy is -0.382 eV/atom.

=====

2.
Material: LaTlAg
Method: DFT, PBEsol
State: relaxed

```
LaTlAg
1.0
3.578 0.000 0.000
0.000 3.578 0.000
0.000 0.000 11.702
La Tl Ag
2 2 2
direct
0.000 0.000 0.000
0.500 0.500 0.500
0.000 0.000 0.307
0.500 0.500 0.807
0.000 0.000 0.673
0.500 0.500 0.173
```

Results
The volume comes out at 74.9 Å³/f.u. The value obtained for the energy is -23.9 eV/cell. Its calculated formation energy is -0.224 eV/atom.

=====

3.
Material: La3TlAg
Method: DFT, PBEsol
State: relaxed

```
La3TlAg
1.0
5.682 0.000 0.000
0.000 5.682 0.000
0.000 0.000 5.682
La Tl Ag
3 1 1
direct
0.000 0.000 0.500
0.000 0.500 0.000
0.500 0.000 0.000
0.500 0.500 0.500
0.000 0.000 0.000
```

Results
The volume comes out at 183.4 Å³/f.u. The value obtained for the energy is -20.9 eV/cell. Its calculated formation energy is 0.221 eV/atom.

=====

4.
Material: LaAgW2
Method: DFT, PBEsol
State: relaxed

```
LaAgW2
1.0
3.232 0.000 0.000
0.000 3.232 0.000
0.000 0.000 7.693
La Ag W
1 1 2
direct
0.000 0.000 0.000
0.500 0.500 0.690
0.000 0.000 0.457
0.500 0.500 0.294
```

Results
The volume comes out at 80.3 Å³/f.u. The value obtained for the energy is -34.6 eV/cell. Its calculated formation energy is 0.411 eV/atom.

=====

5.
Material: La2AgW
Method: DFT, PBEsol
State: relaxed

```
La2AgW
1.0
3.193 0.000 0.000
0.000 3.650 0.000
0.000 0.000 8.331
La Ag W
2 1 1
direct
0.000 0.000 0.232
0.000 0.000 0.768
0.500 0.500 0.500
0.500 0.500 0.000
```

Results
The volume comes out at 97.1 Å³/f.u. The value obtained for the energy is -26.4 eV/cell. Its calculated formation energy is 0.356 eV/atom.

=====

6.
Material: LaAgW2
Method: DFT, PBEsol
State: relaxed

```
LaAgW2
1.0
2.774 0.000 0.000
0.000 2.774 0.000
0.000 0.000 9.660
La Ag W
1 1 2
direct
0.000 0.000 0.000
0.500 0.500 0.717
0.000 0.000 0.501
0.500 0.500 0.275
```

Results
The volume comes out at 74.4 Å³/f.u. The value obtained for the energy is -33.9 eV/cell. Its calculated formation energy is 0.590 eV/atom.

=====

7.
Material: La2AgW
Method: DFT, PBEsol
State: relaxed

```
La2AgW
1.0
11.438 0.000 0.000
0.000 3.049 0.000
-1.223 0.000 5.385
La Ag W
4 2 2
direct
0.000 0.000 0.000
0.191 0.000 0.624
0.500 0.500 0.000
0.691 0.500 0.624
0.260 0.500 0.163
0.760 0.000 0.163
0.439 0.000 0.484
0.939 0.500 0.484
```

Results
The volume comes out at 93.9 Å³/f.u. The value obtained for the energy is -52.4 eV/cell. Its calculated formation energy is 0.408 eV/atom.

=====

8.
Material: LaAg2W
Method: DFT, PBEsol
State: relaxed

```
LaAg2W
1.0
9.911 0.000 0.000
0.000 2.864 0.000
-0.814 0.000 5.527
La Ag W
2 4 2
direct
0.000 0.000 0.000
0.500 0.500 0.000
0.005 0.500 0.511
0.262 0.500 0.281
0.505 0.000 0.511
0.762 0.000 0.281
0.250 0.000 0.722
0.750 0.500 0.722
```

Results
The volume comes out at 78.4 Å³/f.u. The value obtained for the energy is -46.9 eV/cell. Its calculated formation energy is 0.583 eV/atom.

=====

Values of calculated density, in order: 10.0, 10.0, 6.6, 12.7, 9.7, 13.7, 10.1, 11.4, all in g/cm3.